No. 1
Material: YTmAsO
Method: DFT, PBE
State: relaxed

Calculated values
DFT total energy	-7.0289	eV/atom
M_tot	0.001	μB per atom
space group	P4/nmm
excess energy over the best structure of this formula in the dataset	88	meV per atom

Cell: 4.3217 4.3217 8.7078 Å, 90.00 90.00 90.00°
Closest atoms and distances in Å follow each position.
Element x y z (fractional)
Y 0.2500 0.2500 0.1021  4 O 2.34
Y 0.7500 0.7500 0.8979  4 O 2.34
Tm 0.2500 0.7500 0.5000  4 As 2.78, 4 Tm 3.06
Tm 0.7500 0.2500 0.5000  4 As 2.78, 4 Tm 3.06
As 0.2500 0.2500 0.7015  4 Tm 2.78
As 0.7500 0.7500 0.2985  4 Tm 2.78
O 0.2500 0.7500 0.0000  4 Y 2.34
O 0.7500 0.2500 0.0000  4 Y 2.34

No. 2
Material: Hf2MgCu
Method: DFT, PBE
State: relaxed

Calculated values
DFT total energy	-5.9069	eV/atom
M_tot	0.225	μB per atom
space group	F-43m

Cell: 4.7383 4.7383 4.7383 Å, 60.00 60.00 60.00°
Closest atoms and distances in Å follow each position.
Element x y z (fractional)
Hf 0.0000 0.0000 0.0000  4 Cu 2.90, 4 Hf 2.90
Hf 0.2500 0.2500 0.2500  4 Mg 2.90, 4 Hf 2.90
Mg 0.5000 0.5000 0.5000  4 Hf 2.90, 4 Cu 2.90
Cu 0.7500 0.7500 0.7500  4 Mg 2.90, 4 Hf 2.90

No. 3
Material: Zn3P2S8
Method: DFT, PBE
State: relaxed

Calculated values
DFT total energy	-4.0443	eV/atom
space group	P-3m1
excess energy over the best structure of this formula in the dataset	77	meV per atom

Cell: 7.5696 7.5696 5.7008 Å, 90.00 90.00 120.00°
Closest atoms and distances in Å follow each position.
Element x y z (fractional)
Zn 0.0000 0.5000 0.0000  6 S 2.52-2.63
Zn 0.5000 0.0000 0.0000  6 S 2.52-2.63
Zn 0.5000 0.5000 0.0000  6 S 2.52-2.63
P 0.3333 0.6667 0.6179  4 S 2.06
P 0.6667 0.3333 0.3821  4 S 2.06
S 0.1864 0.3729 0.7486  1 P 2.06
S 0.1864 0.8136 0.7486  1 P 2.06
S 0.3333 0.6667 0.2570  1 P 2.06
S 0.3729 0.1864 0.2514  1 P 2.06
S 0.6271 0.8136 0.7486  1 P 2.06
S 0.6667 0.3333 0.7430  1 P 2.06
S 0.8136 0.1864 0.2514  1 P 2.06
S 0.8136 0.6271 0.2514  1 P 2.06